(1)
{"formula": "Sm4ErHg2", "functional": "PBE", "state": "relaxed", "delta_e_f_mev_per_atom": -97, "total_magnetization_mub_per_fu": 0.000, "final_energy_ry_per_atom": -0.25961, "lattice": [[8.8537, 0.6523, 1.3354], [0.0351, 8.6198, -1.1309], [-3.2133, -5.6437, 5.8254]], "species": ["Sm", "Sm", "Sm", "Sm", "Sm", "Sm", "Sm", "Sm", "Hg", "Hg", "Hg", "Hg", "Er", "Er"], "fractional_positions": [[0.5225, 0.7278, 0.7751], [0.9201, 0.6338, 0.2221], [0.7707, 0.9374, 0.6720], [0.3596, 0.5939, 0.0363], [0.3458, 0.0044, 0.6466], [0.8944, 0.6110, 0.8099], [0.3217, 0.1080, 0.3013], [0.8951, 0.1902, 0.2435], [0.5704, 0.3845, 0.2488], [0.6755, 0.9842, 0.3122], [0.0300, 0.1938, 0.6605], [0.6055, 0.3490, 0.7761], [0.1463, 0.7073, 0.6754], [0.1927, 0.3247, 0.1203]]}



(2)
{"formula": "Hf2ZrTi", "functional": "PBE", "state": "relaxed", "e_above_lowest_polymorph_ev_per_atom": 0.013, "delta_e_f_mev_per_atom": 87, "total_magnetization_mub_per_fu": 0.000, "final_energy_ry_per_atom": -0.66152, "lattice": [[4.2463, -0.0109, -1.1289], [-0.3006, 4.2271, -1.1713], [-0.8773, -0.8923, 5.2566]], "species": ["Hf", "Hf", "Ti", "Zr"], "fractional_positions": [[0.5000, 0.5000, 0.0000], [0.0000, 0.0000, 0.0000], [0.7500, 0.2500, 0.5000], [0.2500, 0.7500, 0.5000]]}



(3)
{"formula": "ErIn2Ge", "functional": "PBE", "state": "relaxed", "e_above_lowest_polymorph_ev_per_atom": 0.570, "delta_e_f_mev_per_atom": 193, "total_magnetization_mub_per_fu": 0.000, "final_energy_ry_per_atom": -0.25515, "lattice": [[3.4204, 0.0000, 0.0000], [1.7102, 2.9621, 0.0000], [1.7102, 0.9874, 10.8124]], "species": ["In", "In", "Ge", "Er"], "fractional_positions": [[0.9036, 0.9036, 0.2893], [0.0964, 0.0964, 0.7107], [0.5000, 0.5000, 0.5000], [0.0000, 0.0000, 0.0000]]}



(4)
{"formula": "SrZn2Cd", "functional": "PBE", "state": "relaxed", "delta_e_f_mev_per_atom": -102, "total_magnetization_mub_per_fu": 0.000, "final_energy_ry_per_atom": -0.10206, "lattice": [[-0.1378, -0.4898, 5.3540], [-4.3314, -3.1644, 0.3869], [4.6785, -0.6802, -2.5639]], "species": ["Sr", "Cd", "Zn", "Zn"], "fractional_positions": [[0.2389, 0.7389, 0.5000], [0.5337, 0.5337, 0.0000], [0.9467, 0.9467, 0.0000], [0.7807, 0.2807, 0.5000]]}



(5)
{"formula": "Ac2SmAlO6", "functional": "PBE", "state": "relaxed", "raw_formation_energy_kj_per_mol_fu": -3051, "total_magnetization_mub_per_fu": 0.000, "final_energy_ry_per_atom": -0.57368, "lattice": [[-1.7152, -0.2850, 5.4690], [3.8071, -4.7756, 0.9451], [6.0283, 5.2339, 2.1634]], "species": ["O", "O", "O", "O", "O", "O", "O", "O", "O", "O", "O", "O", "Ac", "Ac", "Ac", "Ac", "Sm", "Sm", "Al", "Al"], "fractional_positions": [[0.7365, 0.9921, 0.5000], [0.7635, 0.0079, 0.0000], [0.2477, 0.5735, 0.0000], [0.0000, 0.7956, 0.2331], [0.2635, 0.9921, 0.5000], [0.2365, 0.0079, 0.0000], [0.7523, 0.5735, 0.0000], [0.5000, 0.2044, 0.2669], [0.7477, 0.4265, 0.5000], [0.0000, 0.7956, 0.7669], [0.2523, 0.4265, 0.5000], [0.5000, 0.2044, 0.7331], [0.0000, 0.1999, 0.7271], [0.5000, 0.8001, 0.2271], [0.0000, 0.1999, 0.2729], [0.5000, 0.8001, 0.7729], [0.0000, 0.7058, 0.5000], [0.5000, 0.2942, 0.0000], [0.0000, 0.7752, 0.0000], [0.5000, 0.2248, 0.5000]]}



(6)
{"formula": "PdPb2C", "functional": "PBE", "state": "relaxed", "delta_e_f_mev_per_atom": 845, "total_magnetization_mub_per_fu": 0.000, "final_energy_ry_per_atom": -0.33905, "lattice": [[6.3665, 0.0000, 0.0000], [0.0000, 6.3665, 0.0000], [3.1833, 3.1833, 4.5029]], "species": ["C", "C", "Pb", "Pb", "Pb", "Pb", "Pd", "Pd"], "fractional_positions": [[0.5000, 0.5000, 0.0000], [0.2500, 0.7500, 0.5000], [0.5716, 0.1250, 0.2500], [0.3750, 0.4284, 0.7500], [0.1784, 0.6250, 0.2500], [0.8750, 0.8216, 0.7500], [0.0000, 0.0000, 0.0000], [0.7500, 0.2500, 0.5000]]}



(7)
{"formula": "Cu2HgWCl", "functional": "PBE", "state": "relaxed", "raw_formation_energy_kj_per_mol_fu": 855, "total_magnetization_mub_per_fu": 4.657, "final_energy_ry_per_atom": -0.21220, "lattice": [[-4.8196, 0.0670, 0.4236], [0.3079, -3.6032, 4.0739], [0.3303, 3.6283, 3.1842]], "species": ["Cu", "Cu", "Hg", "Cl", "W"], "fractional_positions": [[0.5000, 0.0000, 0.0000], [0.0000, 0.0000, 0.5000], [0.0000, 0.0000, 0.0000], [0.0000, 0.5000, 0.0000], [0.5000, 0.5000, 0.5000]]}



(8)
{"formula": "Hf2Zn3Au", "functional": "PBE", "state": "relaxed", "e_above_lowest_polymorph_ev_per_atom": 0.176, "delta_e_f_mev_per_atom": -121, "total_magnetization_mub_per_fu": 0.000, "final_energy_ry_per_atom": -0.33972, "lattice": [[-0.5744, -0.5181, -3.0450], [4.4920, 1.0459, -1.0253], [-0.1038, -7.3860, 2.8970]], "species": ["Hf", "Hf", "Zn", "Zn", "Zn", "Au"], "fractional_positions": [[0.8426, 0.3426, 0.6852], [0.1552, 0.1552, 0.3104], [0.3099, 0.8099, 0.6198], [0.5262, 0.5262, 0.0524], [0.6877, 0.6877, 0.3753], [0.4784, 0.9784, 0.9569]]}